# 1
## Rb2LiCe2S6 (PBE-GGA)

Data for a relaxed Rb2LiCe2S6 crystal.

Cell and atoms, written as POSCAR:
```
Rb2LiCe2S6
1.0
3.432 -6.339 0.000
3.432 6.339 0.000
-2.171 0.000 7.805
Rb Li Ce S
2 1 2 6
Direct
0.154 0.846 0.000
0.846 0.154 0.000
0.000 0.000 0.500
0.339 0.661 0.500
0.661 0.339 0.500
0.051 0.418 0.690
0.268 0.268 0.327
0.418 0.051 0.690
0.582 0.949 0.310
0.732 0.732 0.673
0.949 0.582 0.310
```

ΔE_f (raw) = -32.42 kcal/mol of atoms
D(E_F) = 18.6 states/eV per cell

# 2
## ZrUC2 (PBE-GGA)

Data for a relaxed ZrUC2 crystal.

Cell and atoms, written as POSCAR:
```
ZrUC2
1.0
1.699 0.981 5.676
-1.699 0.981 5.676
0.000 -1.961 5.676
Zr U C
1 1 2
Direct
0.000 0.000 0.000
0.500 0.500 0.500
0.251 0.251 0.251
0.749 0.749 0.749
```

Energy relative to the elements = -47.7 kJ/mol of atoms
Excess energy over the best structure of this formula in the dataset = 0 meV per atom
D(E_F) = 2.9 states/eV per cell

# 3
## MnCu2I5 (PBE-GGA)

Data for a relaxed MnCu2I5 crystal.

Cell and atoms, written as POSCAR:
```
MnCu2I5
1.0
7.129 0.000 0.000
3.323 6.366 0.000
3.213 0.069 6.722
Mn Cu I
1 2 5
Direct
0.000 0.000 0.000
0.717 0.543 0.931
0.722 0.796 0.639
0.052 0.737 0.311
0.089 0.262 0.692
0.396 0.673 0.765
0.661 0.937 0.962
0.709 0.325 0.251
```

ΔE_f (raw) = -4.78 kcal/mol of atoms
D(E_F) = 3.7 states/eV per cell

# 4
## Li2HgBiO4 (PBE-GGA)

Data for a relaxed Li2HgBiO4 crystal.

Cell and atoms, written as POSCAR:
```
Li2HgBiO4
1.0
6.569 0.000 0.000
-2.081 6.435 0.000
-2.582 -2.923 5.531
Li Hg Bi O
4 2 2 8
Direct
0.000 0.000 0.000
0.000 0.000 0.500
0.500 0.000 0.000
0.500 0.500 0.000
0.000 0.500 0.500
0.500 0.500 0.500
0.000 0.500 0.000
0.500 0.000 0.500
0.028 0.733 0.798
0.100 0.838 0.321
0.457 0.710 0.210
0.470 0.180 0.279
0.530 0.820 0.721
0.543 0.290 0.790
0.900 0.162 0.679
0.972 0.267 0.202
```

ΔE_f (raw) = -25.45 kcal/mol of atoms

# 5
## B2WCl (PBE-GGA)

Data for a relaxed B2WCl crystal.

Cell and atoms, written as POSCAR:
```
B2WCl
1.0
-2.624 2.624 4.721
2.624 -2.624 4.721
2.624 2.624 -4.721
B W Cl
4 2 2
Direct
0.094 0.625 0.969
0.375 0.344 0.469
0.656 0.125 0.031
0.875 0.906 0.531
0.000 0.000 0.000
0.750 0.250 0.500
0.250 0.750 0.500
0.500 0.500 0.000
```

ΔE_f (raw) = 30.42 kcal/mol of atoms
Excess energy over the best structure of this formula in the dataset = 0 meV per atom
D(E_F) = 7.4 states/eV per cell

# 6
## SrOs4Au (PBE-GGA)

Data for a relaxed SrOs4Au crystal.

Cell and atoms, written as POSCAR:
```
SrOs4Au
1.0
0.000 3.775 3.775
3.775 0.000 3.775
3.775 3.775 0.000
Sr Os Au
1 4 1
Direct
0.000 0.000 0.000
0.376 0.376 0.376
0.376 0.376 0.873
0.376 0.873 0.376
0.873 0.376 0.376
0.750 0.750 0.750
```

Energy relative to the elements = 66.7 kJ/mol of atoms
D(E_F) = 9.0 states/eV per cell

# 7
## Er6SbTe3P2 (PBE-GGA)

Data for a relaxed Er6SbTe3P2 crystal.

Cell and atoms, written as POSCAR:
```
Er6SbTe3P2
1.0
9.263 -2.079 0.000
9.263 2.079 0.000
-2.156 0.000 8.254
Er Sb Te P
6 1 3 2
Direct
0.017 0.017 0.255
0.322 0.322 0.436
0.330 0.330 0.878
0.670 0.670 0.122
0.678 0.678 0.564
0.983 0.983 0.745
0.500 0.500 0.000
0.161 0.161 0.834
0.500 0.500 0.500
0.839 0.839 0.166
0.169 0.169 0.339
0.831 0.831 0.661
```

ΔE_f (raw) = -32.49 kcal/mol of atoms
D(E_F) = 4.2 states/eV per cell

# 8
## La8Tm2Mg3 (PBE-GGA)

Data for a relaxed La8Tm2Mg3 crystal.

Cell and atoms, written as POSCAR:
```
La8Tm2Mg3
1.0
5.549 -7.464 0.000
5.549 7.464 0.000
0.000 0.000 5.690
La Tm Mg
8 2 3
Direct
0.102 0.354 0.500
0.113 0.887 0.000
0.354 0.102 0.500
0.360 0.640 0.000
0.640 0.360 0.000
0.646 0.898 0.500
0.887 0.113 0.000
0.898 0.646 0.500
0.271 0.729 0.500
0.729 0.271 0.500
0.268 0.268 0.000
0.500 0.500 0.500
0.732 0.732 0.000
```

Energy relative to the elements = 26.9 kJ/mol of atoms
D(E_F) = 19.4 states/eV per cell

# 9
## TiBiSe2 (PBE-GGA)

Data for a relaxed TiBiSe2 crystal.

Cell and atoms, written as POSCAR:
```
TiBiSe2
1.0
-3.796 3.796 3.374
3.796 -3.796 3.374
3.796 3.796 -3.374
Ti Bi Se
2 2 4
Direct
0.250 0.750 0.500
0.750 0.250 0.500
0.250 0.250 0.000
0.750 0.750 0.000
0.175 0.675 0.850
0.325 0.175 0.500
0.675 0.825 0.500
0.825 0.325 0.150
```

ΔE_f (raw) = -10.49 kcal/mol of atoms
D(E_F) = 7.8 states/eV per cell

# 10
## Tm2ThBe (PBE-GGA)

Data for a relaxed Tm2ThBe crystal.

Cell and atoms, written as POSCAR:
```
Tm2ThBe
1.0
3.428 0.000 0.000
0.000 3.428 0.000
0.000 0.000 8.483
Tm Th Be
2 1 1
Direct
0.000 0.000 0.194
0.000 0.000 0.806
0.500 0.500 0.500
0.500 0.500 0.000
```

Energy relative to the elements = 6.6 kJ/mol of atoms
Excess energy over the best structure of this formula in the dataset = 0 meV per atom
D(E_F) = 5.2 states/eV per cell

# 11
## LaTb2Pt (PBE-GGA)

Data for a relaxed LaTb2Pt crystal.

Cell and atoms, written as POSCAR:
```
LaTb2Pt
1.0
2.005 1.157 9.163
-2.005 1.157 9.163
0.000 -2.315 9.163
La Tb Pt
1 2 1
Direct
0.000 0.000 0.000
0.228 0.228 0.228
0.445 0.445 0.445
0.837 0.837 0.837
```

Energy relative to the elements = -52.2 kJ/mol of atoms
Excess energy over the best structure of this formula in the dataset = 142 meV per atom
D(E_F) = 4.8 states/eV per cell

Result set for calculated density: 3180, 10340, 4445, 6924, 6153, 16135, 8203, 5363, 7084, 9641, 8486 kg/m3, one per record in the order listed.
Result set for E: -0.3738, -0.7398, -0.2459, -0.3369, -0.4204, -0.5602, -0.4205, -0.2800, -0.3779, -0.3641, -0.4114 Ry per atom, one per record in the order listed.